The following is a PBE calculation of K2ScTeS4 after structural relaxation, from the Alexandria database.

```
K2ScTeS4
1.0
8.077 -0.002 0.291
-0.007 8.077 0.291
-3.722 -3.724 5.971
K Sc Te S
4 2 2 8
direct
0.500 0.000 0.000
0.500 0.000 0.500
0.000 0.000 0.500
0.500 0.500 0.000
0.000 0.500 0.000
0.000 0.500 0.500
0.500 0.500 0.500
0.000 0.000 0.000
0.184 0.716 0.930
0.784 0.316 0.570
0.216 0.684 0.430
0.816 0.284 0.070
0.798 0.753 0.011
0.747 0.702 0.489
0.253 0.298 0.511
0.202 0.247 0.989
```

Results
Size of the total moment, μB/cell: 0.00
Energy relative to the elements, uncorrected, eV per formula unit: -8.3

---

The following is a PBE calculation of Er11Cd9Au4 after structural relaxation, from the Alexandria database.

```
Er11Cd9Au4
1.0
3.664 0.000 0.000
0.000 12.164 -5.114
0.000 0.077 13.195
Er Cd Au
11 9 4
direct
0.000 0.586 0.928
0.000 0.414 0.072
0.000 0.928 0.586
0.000 0.072 0.414
0.000 0.636 0.364
0.000 0.364 0.636
0.000 0.837 0.163
0.000 0.163 0.837
0.000 0.000 0.000
0.000 0.704 0.704
0.000 0.296 0.296
0.500 0.635 0.152
0.500 0.365 0.848
0.500 0.152 0.635
0.500 0.848 0.365
0.500 0.789 0.936
0.500 0.211 0.064
0.500 0.936 0.789
0.500 0.064 0.211
0.500 0.500 0.500
0.500 0.550 0.748
0.500 0.450 0.252
0.500 0.748 0.550
0.500 0.252 0.450
```

Results
Size of the total moment, μB/cell: 0.00
DFT formation energy, eV per atom: -0.518